Record 1
# Sc2AlSb, relaxed, DFT PBE
# E_tot = -22.57 eV/f.u.
# ΔE to the lowest computed polymorph = 106 meV/atom
# energy relative to the elements, uncorrected = -0.510 eV per atom
data_Sc2AlSb
_space_group_name_H-M_alt 'I 4/m m m'
_space_group_IT_number 139
_space_group_name_Hall '-I 4 2'
_cell_length_a 4.447
_cell_length_b 4.447
_cell_length_c 8.539
_cell_angle_alpha 90.00
_cell_angle_beta 90.00
_cell_angle_gamma 90.00
loop_
_atom_site_label
_atom_site_type_symbol
_atom_site_fract_x
_atom_site_fract_y
_atom_site_fract_z
Sc1 Sc 0.000 0.500 0.250
Al1 Al 0.000 0.000 0.000
Sb1 Sb 0.000 0.000 0.500


Record 2
# PrCo3Si3, relaxed, DFT PBE
# E_tot = -44.37 eV/f.u.
# ΔE to the lowest computed polymorph = 0 meV/atom
# energy relative to the elements, uncorrected = -0.287 eV per atom
data_PrCo3Si3
_space_group_name_H-M_alt 'R -3'
_space_group_IT_number 148
_space_group_name_Hall '-R 3'
_cell_length_a 6.1648
_cell_length_b 6.1648
_cell_length_c 21.0873
_cell_angle_alpha 90.00
_cell_angle_beta 90.00
_cell_angle_gamma 120.00
loop_
_atom_site_label
_atom_site_type_symbol
_atom_site_fract_x
_atom_site_fract_y
_atom_site_fract_z
Pr1 Pr 0.0000 0.0000 0.1697
Co1 Co 0.0334 0.7476 0.7056
Si1 Si 0.0332 0.7575 0.5971


Repeat the first record exactly.
# Sc2AlSb, relaxed, DFT PBE
# E_tot = -22.57 eV/f.u.
# ΔE to the lowest computed polymorph = 106 meV/atom
# energy relative to the elements, uncorrected = -0.510 eV per atom
data_Sc2AlSb
_space_group_name_H-M_alt 'I 4/m m m'
_space_group_IT_number 139
_space_group_name_Hall '-I 4 2'
_cell_length_a 4.447
_cell_length_b 4.447
_cell_length_c 8.539
_cell_angle_alpha 90.00
_cell_angle_beta 90.00
_cell_angle_gamma 90.00
loop_
_atom_site_label
_atom_site_type_symbol
_atom_site_fract_x
_atom_site_fract_y
_atom_site_fract_z
Sc1 Sc 0.000 0.500 0.250
Al1 Al 0.000 0.000 0.000
Sb1 Sb 0.000 0.000 0.500


> What is the energy relative to the elements, uncorrected in the first record?

-0.510 eV per atom